1.
Entry from Alexandria via LeMat-Bulk: a geometry-optimized Hg5Pt structure (PBE).

a = 5.8399 Å, b = 5.8399 Å, c = 5.8399 Å
α = 60.00°, β = 60.00°, γ = 60.00°
Positions (direct):
1 Hg 0.8768 0.3744 0.3744
2 Hg 0.7500 0.7500 0.7500
3 Hg 0.3744 0.8768 0.3744
4 Hg 0.3744 0.3744 0.3744
5 Hg 0.3744 0.3744 0.8768
6 Pt 0.0000 0.0000 0.0000

Summary:
DFT total energy   -4.93 eV for the cell shown
Offset from the most stable computed form   387.0 meV/atom
N(E_F)   3.97 states/eV/f.u.
Calculated formation energy   42.1 kJ/mol of atoms
Total moment   0.0 μB/f.u.



2.
Entry from Alexandria via LeMat-Bulk: a geometry-optimized Hg5Pt structure (PBE).

a = 7.0165 Å, b = 7.0165 Å, c = 9.5665 Å
α = 48.43°, β = 48.43°, γ = 24.81°
Positions (direct):
1 Hg 0.6128 0.6128 0.1171
2 Hg 0.2830 0.2830 0.3281
3 Hg 0.0000 0.0000 0.5000
4 Hg 0.7170 0.7170 0.6719
5 Hg 0.3872 0.3872 0.8829
6 Pt 0.0000 0.0000 0.0000

Summary:
DFT total energy   -7.17 eV for the cell shown
Offset from the most stable computed form   14.7 meV/atom
N(E_F)   2.77 states/eV/f.u.
Calculated formation energy   6.1 kJ/mol of atoms
Total moment   0.0 μB/f.u.



3.
Entry from Alexandria via LeMat-Bulk: a geometry-optimized HgPt2 structure (PBE).

a = 6.3999 Å, b = 6.3999 Å, c = 4.1129 Å
α = 90.00°, β = 90.00°, γ = 142.01°
Positions (direct):
1 Hg 0.9125 0.0875 0.7500
2 Hg 0.0875 0.9125 0.2500
3 Pt 0.5849 0.4151 0.7500
4 Pt 0.2534 0.7466 0.7500
5 Pt 0.4151 0.5849 0.2500
6 Pt 0.7466 0.2534 0.2500

Summary:
DFT total energy   -24.43 eV for the cell shown
N(E_F)   1.82 states/eV/f.u.
Calculated formation energy   5.4 kJ/mol of atoms
Total moment   0.0 μB/f.u.



4.
Entry from Alexandria via LeMat-Bulk: a geometry-optimized HgPt structure (PBE).

a = 2.9990 Å, b = 2.9990 Å, c = 9.5990 Å
α = 90.00°, β = 90.00°, γ = 120.00°
Positions (direct):
1 Hg 0.0000 0.0000 0.9833
2 Hg 0.3333 0.6667 0.2667
3 Pt 0.0000 0.0000 0.5084
4 Pt 0.3333 0.6667 0.7416

Summary:
DFT total energy   -11.85 eV for the cell shown
N(E_F)   1.97 states/eV/f.u.
Calculated formation energy   20.2 kJ/mol of atoms
Total moment   0.0 μB/f.u.



5.
Entry from Alexandria via LeMat-Bulk: a geometry-optimized HgPt2 structure (PBE).

a = 4.6130 Å, b = 4.6130 Å, c = 2.8723 Å
α = 90.00°, β = 90.00°, γ = 120.00°
Positions (direct):
1 Hg 0.0000 0.0000 0.0000
2 Pt 0.3333 0.6667 0.5004
3 Pt 0.6667 0.3333 0.4996

Summary:
DFT total energy   -12.03 eV for the cell shown
N(E_F)   2.03 states/eV/f.u.
Calculated formation energy   11.3 kJ/mol of atoms
Total moment   0.0 μB/f.u.



6.
Entry from Alexandria via LeMat-Bulk: a geometry-optimized Hg3Pt structure (PBE).

a = 3.0456 Å, b = 4.5608 Å, c = 7.2493 Å
α = 90.00°, β = 90.00°, γ = 90.00°
Positions (direct):
1 Hg 0.0000 0.0000 0.0155
2 Hg 0.5000 0.0000 0.4131
3 Hg 0.5000 0.5000 0.7861
4 Pt 0.0000 0.5000 0.4520

Summary:
DFT total energy   -6.52 eV for the cell shown
Offset from the most stable computed form   119.3 meV/atom
N(E_F)   1.33 states/eV/f.u.
Calculated formation energy   10.4 kJ/mol of atoms
Total moment   0.0 μB/f.u.



7.
Entry from Alexandria via LeMat-Bulk: a geometry-optimized HgPt2 structure (PBE).

a = 5.5996 Å, b = 5.5996 Å, c = 6.8699 Å
α = 74.71°, β = 74.71°, γ = 30.07°
Positions (direct):
1 Hg 0.0042 0.0042 0.9943
2 Hg 0.3250 0.3250 0.3419
3 Pt 0.6056 0.6056 0.2810
4 Pt 0.9492 0.9492 0.6097
5 Pt 0.6686 0.6686 0.6684
6 Pt 0.2806 0.2806 0.9381

Summary:
DFT total energy   -24.23 eV for the cell shown
N(E_F)   3.03 states/eV/f.u.
Calculated formation energy   8.6 kJ/mol of atoms
Total moment   0.0 μB/f.u.



8.
Entry from Alexandria via LeMat-Bulk: a geometry-optimized Hg3Pt structure (PBE).

a = 9.3937 Å, b = 9.3937 Å, c = 9.3937 Å
α = 153.75°, β = 153.75°, γ = 37.47°
Positions (direct):
1 Hg 0.1251 0.1251 0.0000
2 Hg 0.7500 0.2500 0.5000
3 Hg 0.5000 0.0000 0.5000
4 Hg 0.8749 0.8749 0.0000
5 Hg 0.2500 0.7500 0.5000
6 Hg 0.0000 0.5000 0.5000
7 Pt 0.3778 0.3778 0.0000
8 Pt 0.6222 0.6222 0.0000

Summary:
DFT total energy   -12.34 eV for the cell shown
Offset from the most stable computed form   205.9 meV/atom
N(E_F)   1.63 states/eV/f.u.
Calculated formation energy   18.8 kJ/mol of atoms
Total moment   0.0 μB/f.u.